DFT (GGA-PBE) results for La2InAuCl after structural relaxation.

Properties
total energy	-20.11	eV/f.u.
total magnetic moment	0.000	μB per cell
energy relative to the elements, uncorrected	-0.478	eV/atom

a b c (Å): 5.424 5.033 5.424
angles (deg): 90.00 90.00 90.00
Atoms (fractional coordinates):
Cl  0.000  0.000  0.000
La  0.000  0.000  0.500
La  0.500  0.000  0.000
In  0.500  0.500  0.500
Au  0.000  0.500  0.000